[1]
DFT (PBE) results for a relaxed LaTb2Mg3TlGa2 crystal.

Unit cell a=4.6081 b=7.4944 c=7.4944 alpha=120.76 beta=90.00 gamma=90.00
Element x y z (fractional)
Mg: 0.5000 0.9991 0.2499
Mg: 0.5000 0.7501 0.7501
Mg: 0.5000 0.2499 0.9991
Tb: 0.0000 0.5686 0.0020
Tb: 0.0000 0.0020 0.5686
Tl: 0.0000 0.9915 0.9915
Ga: 0.5000 0.6730 0.3301
Ga: 0.5000 0.3301 0.6730
La: 0.0000 0.4357 0.4357

Computed properties:
Size of the total moment (μB/f.u.): 0.008
VASP energy (eV per atom): -3.473
SG: Amm2

---

[2]
DFT (PBE) results for a relaxed Tb2Cd3Hg3 crystal.

Unit cell a=6.5247 b=4.9511 c=6.6120 alpha=90.00 beta=118.51 gamma=90.00
Element x y z (fractional)
Cd: 0.3223 0.0000 0.1510
Cd: 0.8388 0.0000 0.1550
Cd: 0.1621 0.5000 0.8505
Hg: 0.1664 0.5000 0.3370
Hg: 0.8396 0.0000 0.6586
Hg: 0.6624 0.5000 0.8442
Tb: 0.6708 0.5000 0.3453
Tb: 0.3376 0.0000 0.6583

Computed properties:
Size of the total moment (μB/f.u.): 0.007
SG: Pm
Offset from the most stable computed form (eV/atom): 0.000